[1]
# GGA-PBE CeSmEr2S4, relaxed
# **ΔE_f (raw)**: -16.0 eV/f.u.
# **Total magnetization**: 0.76 μB/cell
data_CeSmEr2S4
_cell_length_a 6.7902
_cell_length_b 3.9084
_cell_length_c 6.8999
_cell_angle_alpha 90.00
_cell_angle_beta 109.07
_cell_angle_gamma 90.00
_symmetry_space_group_name_H-M 'P 1 2/m 1'
_symmetry_Int_Tables_number 10
_symmetry_space_group_name_Hall '-P 2y'
loop_
_atom_site_label
_atom_site_fract_x
_atom_site_fract_y
_atom_site_fract_z
_atom_site_occupancy
Ce1 0.0000 0.0000 0.0000 1
Sm1 0.5000 0.5000 0.0000 1
Er1 0.0000 0.5000 0.5000 1
Er2 0.5000 0.0000 0.5000 1
S1 0.2457 0.0000 0.7358 1
S2 0.2557 0.5000 0.2647 1

***

[2]
# GGA-PBE PmErMnIn, relaxed
# **Total magnetization**: 13.45 μB/cell
# **Energy of formation**: -0.0830 eV per atom
data_PmErMnIn
_cell_length_a 7.4154
_cell_length_b 7.4154
_cell_length_c 7.4154
_cell_angle_alpha 90.00
_cell_angle_beta 90.00
_cell_angle_gamma 90.00
_symmetry_space_group_name_H-M 'F -4 3 m'
_symmetry_Int_Tables_number 216
_symmetry_space_group_name_Hall 'F -4 2 3'
loop_
_atom_site_label
_atom_site_fract_x
_atom_site_fract_y
_atom_site_fract_z
_atom_site_occupancy
Pm1 0.0000 0.0000 0.0000 1
Er1 0.0000 0.0000 0.5000 1
Mn1 0.2500 0.2500 0.2500 1
In1 0.2500 0.2500 0.7500 1

***

[3]
# GGA-PBE TbEr2Rh4, relaxed
# **Total magnetization**: 0.00 μB/cell
# **Energy of formation**: -0.5610 eV per atom
data_TbEr2Rh4
_cell_length_a 4.6332
_cell_length_b 4.6332
_cell_length_c 23.1120
_cell_angle_alpha 90.00
_cell_angle_beta 90.00
_cell_angle_gamma 120.00
_symmetry_space_group_name_H-M 'R -3 m'
_symmetry_Int_Tables_number 166
_symmetry_space_group_name_Hall '-R 3 2"'
loop_
_atom_site_label
_atom_site_fract_x
_atom_site_fract_y
_atom_site_fract_z
_atom_site_occupancy
Tb1 0.0000 0.0000 0.0000 1
Er1 0.0000 0.0000 0.2389 1
Rh1 0.0000 0.0000 0.1215 1
Rh2 0.0000 0.0000 0.3763 1

***

[4]
# GGA-PBE NdEr2Ir, relaxed
# **Total magnetization**: 0.00 μB/cell
# **Energy of formation**: -0.3889 eV per atom
data_NdEr2Ir
_cell_length_a 4.0282
_cell_length_b 4.0282
_cell_length_c 25.8741
_cell_angle_alpha 90.00
_cell_angle_beta 90.00
_cell_angle_gamma 120.00
_symmetry_space_group_name_H-M 'R 3 m'
_symmetry_Int_Tables_number 160
_symmetry_space_group_name_Hall 'R 3 -2"'
loop_
_atom_site_label
_atom_site_fract_x
_atom_site_fract_y
_atom_site_fract_z
_atom_site_occupancy
Nd1 0.0000 0.0000 0.0000 1
Er1 0.0000 0.0000 0.5524 1
Er2 0.0000 0.0000 0.7751 1
Ir1 0.0000 0.0000 0.1638 1

***

Copy entry 3 word for word.
# GGA-PBE TbEr2Rh4, relaxed
# **Total magnetization**: 0.00 μB/cell
# **Energy of formation**: -0.5610 eV per atom
data_TbEr2Rh4
_cell_length_a 4.6332
_cell_length_b 4.6332
_cell_length_c 23.1120
_cell_angle_alpha 90.00
_cell_angle_beta 90.00
_cell_angle_gamma 120.00
_symmetry_space_group_name_H-M 'R -3 m'
_symmetry_Int_Tables_number 166
_symmetry_space_group_name_Hall '-R 3 2"'
loop_
_atom_site_label
_atom_site_fract_x
_atom_site_fract_y
_atom_site_fract_z
_atom_site_occupancy
Tb1 0.0000 0.0000 0.0000 1
Er1 0.0000 0.0000 0.2389 1
Rh1 0.0000 0.0000 0.1215 1
Rh2 0.0000 0.0000 0.3763 1

***

total magnetization of number 1 (CeSmEr2S4)?
0.76 μB/cell

***

Number 4 is which compound?
NdEr2Ir